The following is a GGA-PBE calculation of crystalline ZrCoTc2 at its relaxed geometry, from the Alexandria database.

Summary:
Calculated density, g/cm3: 9.35
Symmetry: No. 12
Distance to the lowest polymorph of the same formula, eV/f.u.: 0.226
V, Å³/f.u.: 61.47
E_form, eV/f.u.: 0.123

a b c (Å): 4.9200 4.9200 4.6135
angles (deg): 102.89 102.89 34.48
Sites, in units of the cell vectors:
Zr1 0.0000 0.0000 0.0000
Co1 0.5000 0.5000 0.5000
Tc1 0.2233 0.2233 0.7118
Tc2 0.7767 0.7767 0.2882

The following is a GGA-PBE calculation of crystalline ZrCo4Tc at its relaxed geometry, from the Alexandria database.

Summary:
Calculated density, g/cm3: 8.92
Symmetry: No. 216
V, Å³/f.u.: 79.09
E_form, eV/f.u.: -0.703

a b c (Å): 4.8182 4.8182 4.8182
angles (deg): 60.00 60.00 60.00
Sites, in units of the cell vectors:
Zr1 0.0000 0.0000 0.0000
Co1 0.3751 0.3751 0.3751
Co2 0.3751 0.3751 0.8748
Co3 0.3751 0.8748 0.3751
Co4 0.8748 0.3751 0.3751
Tc1 0.7500 0.7500 0.7500

The following is a GGA-PBE calculation of crystalline ZrCoTc2 at its relaxed geometry, from the Alexandria database.

Summary:
Calculated density, g/cm3: 9.45
Symmetry: No. 123
Distance to the lowest polymorph of the same formula, eV/f.u.: 0.624
V, Å³/f.u.: 60.80
E_form, eV/f.u.: 0.522

a b c (Å): 2.7201 2.7201 8.2169
angles (deg): 90.00 90.00 90.00
Sites, in units of the cell vectors:
Zr1 0.0000 0.0000 0.0000
Co1 0.0000 0.0000 0.5000
Tc1 0.5000 0.5000 0.2901
Tc2 0.5000 0.5000 0.7099